(1)
The following is a PBE calculation of crystalline ScAl2Pb at its relaxed geometry, from Alexandria.

a = 5.973 Å, b = 8.791 Å, c = 3.297 Å
α = 90.00°, β = 90.00°, γ = 90.00°
Space group Cmmm (No. 65)
Unique sites:
Sc1 0.000 0.000 0.000 x2
Al1 0.250 0.250 0.500 x4
Pb1 0.000 0.500 0.000 x2

**Calculated density**: 5.87 g cm⁻³
**DFT formation energy**: -0.330 eV/f.u.

---

(2)
The following is a PBE calculation of crystalline Tl2CuIr at its relaxed geometry, from Alexandria.

a = 3.080 Å, b = 4.581 Å, c = 11.842 Å
α = 90.00°, β = 90.00°, γ = 90.00°
Space group Imm2 (No. 44)
Unique sites:
Tl1 0.000 0.000 0.000 x2
Tl2 0.000 0.500 0.221 x2
Cu1 0.000 0.500 0.823 x2
Ir1 0.000 0.000 0.502 x2

**Calculated density**: 13.21 g cm⁻³
**DFT formation energy**: 1.539 eV/f.u.
**Energy above the most stable polymorph in this dataset**: 49 meV/atom

---

(3)
The following is a PBE calculation of crystalline SmGdErOs at its relaxed geometry, from Alexandria.

a = 7.298 Å, b = 7.298 Å, c = 7.298 Å
α = 90.00°, β = 90.00°, γ = 90.00°
Space group F-43m (No. 216)
Unique sites:
Sm1 0.000 0.000 0.000 x4
Gd1 0.000 0.000 0.500 x4
Er1 0.250 0.250 0.750 x4
Os1 0.250 0.250 0.250 x4

**Calculated density**: 11.37 g cm⁻³
**DFT formation energy**: 0.710 eV/f.u.

---

(4)
The following is a PBE calculation of crystalline TbY2Ho5Th at its relaxed geometry, from Alexandria.

a = 5.689 Å, b = 21.359 Å, c = 9.726 Å
α = 90.00°, β = 90.00°, γ = 90.00°
Space group Cmc2_1 (No. 36)
Unique sites:
Tb1 0.000 0.191 0.000 x4
Y1 0.000 0.115 0.311 x4
Y2 0.000 0.128 0.695 x4
Ho1 0.000 0.015 0.001 x4
Ho2 0.000 0.272 0.307 x4
Ho3 0.000 0.304 0.698 x4
Ho4 0.000 0.399 0.022 x4
Ho5 0.000 0.469 0.723 x4
Th1 0.000 0.406 0.406 x4

**Calculated density**: 7.83 g cm⁻³
**DFT formation energy**: 1.471 eV/f.u.

---

(5)
The following is a PBE calculation of crystalline NaLi2USe4 at its relaxed geometry, from Alexandria.

a = 5.690 Å, b = 5.690 Å, c = 11.379 Å
α = 90.00°, β = 90.00°, γ = 90.00°
Space group I4/mmm (No. 139)
Unique sites:
Na1 0.000 0.000 0.000 x2
Li1 0.000 0.500 0.250 x4
U1 0.000 0.000 0.500 x2
Se1 0.000 0.000 0.267 x4
Se2 0.000 0.500 0.000 x4

**Calculated density**: 5.33 g cm⁻³
**Calculated total energy**: -4.948 eV per atom

---

(6)
The following is a PBE calculation of crystalline Pr5SmTm2Th at its relaxed geometry, from Alexandria.

a = 5.666 Å, b = 20.727 Å, c = 10.703 Å
α = 90.00°, β = 90.00°, γ = 90.00°
Space group Cmc2_1 (No. 36)
Unique sites:
Pr1 0.000 0.012 0.000 x4
Pr2 0.000 0.276 0.296 x4
Pr3 0.000 0.291 0.687 x4
Pr4 0.000 0.381 0.006 x4
Pr5 0.000 0.485 0.729 x4
Sm1 0.000 0.405 0.444 x4
Tm1 0.000 0.112 0.725 x4
Tm2 0.000 0.115 0.286 x4
Th1 0.000 0.201 0.994 x4

**Calculated density**: 7.53 g cm⁻³
**DFT formation energy**: 1.441 eV/f.u.

---

Short version: volume = 21.6 20.9 24.3 32.8 23.0 34.9 Å³ per atom, in the order given.